(1)
Sm5Ho2Er3 after structural relaxation, computed with PBE.

Results
crystal system	orthorhombic
energy above the most stable polymorph in this dataset	1.993	eV/f.u.
formation energy	3.9	eV per formula unit
total moment	0.0	Bohr magnetons per cell
total energy	-85.0	eV per cell

Cell lengths 10.8847, 9.8761, 9.8761 Å; angles 56.56, 56.56, 56.56 degrees
Last column: nearest neighbours and their distance in Å.
Sites, in units of the cell vectors:
1 Sm 0.2500 0.5000 0.5000  6 Sm 3.36-3.42
2 Sm 0.7500 0.5000 0.5000  6 Sm 3.36-3.42
3 Sm 0.4977 0.7523 0.7523  2 Ho 3.32, 3 Sm 3.34-3.42, 1 Er 3.36
4 Sm 0.0023 0.2477 0.2477  2 Ho 3.32, 3 Sm 3.34-3.42, 1 Er 3.36
5 Sm 0.5023 0.2477 0.2477  2 Ho 3.32, 3 Sm 3.34-3.42, 1 Er 3.36
6 Sm 0.9977 0.7523 0.7523  2 Ho 3.32, 3 Sm 3.34-3.42, 1 Er 3.36
7 Sm 0.1275 0.4748 0.2703  1 Ho 2.90
8 Sm 0.8725 0.5252 0.7297  1 Ho 2.90
9 Sm 0.6275 0.2703 0.4748  1 Ho 2.90
10 Sm 0.3725 0.7297 0.5252  1 Ho 2.90
11 Ho 0.1208 0.7910 0.9673  1 Sm 2.90, 1 Er 3.18
12 Ho 0.8792 0.2090 0.0327  1 Sm 2.90, 1 Er 3.18
13 Ho 0.6208 0.9673 0.7910  1 Sm 2.90, 1 Er 3.18
14 Ho 0.3792 0.0327 0.2090  1 Sm 2.90, 1 Er 3.18
15 Er 0.2500 0.0000 0.0000  4 Ho 3.28, 2 Sm 3.36
16 Er 0.7500 0.0000 0.0000  4 Ho 3.28, 2 Sm 3.36
17 Er 0.3759 0.3759 0.8723  1 Ho 3.18, 1 Sm 3.28
18 Er 0.6241 0.6241 0.1277  1 Ho 3.18, 1 Sm 3.28
19 Er 0.8759 0.8723 0.3759  1 Ho 3.18, 1 Sm 3.28
20 Er 0.1241 0.1277 0.6241  1 Ho 3.18, 1 Sm 3.28

***

(2)
Sm4Ho3Er2 after structural relaxation, computed with PBE.

Results
crystal system	monoclinic
energy above the most stable polymorph in this dataset	0.656	eV/f.u.
formation energy	0.8	eV per formula unit
total moment	0.0	Bohr magnetons per cell
total energy	-81.8	eV per cell

Cell lengths 5.9753, 10.1764, 10.1764 Å; angles 69.73, 84.13, 84.13 degrees
Last column: nearest neighbours and their distance in Å.
Sites, in units of the cell vectors:
1 Sm 0.5471 0.0472 0.8249  3 Sm 3.36-3.46, 4 Ho 3.39-3.52, 1 Er 3.63
2 Sm 0.9529 0.1751 0.9528  3 Sm 3.36-3.46, 4 Ho 3.39-3.52, 1 Er 3.63
3 Sm 0.4529 0.9528 0.1751  3 Sm 3.36-3.46, 4 Ho 3.39-3.52, 1 Er 3.63
4 Sm 0.0471 0.8249 0.0472  3 Sm 3.36-3.46, 4 Ho 3.39-3.52, 1 Er 3.63
5 Sm 0.6157 0.8374 0.6176  2 Er 3.27-3.41, 4 Ho 3.39-3.50, 2 Sm 3.46-3.58
6 Sm 0.8843 0.3824 0.1626  2 Er 3.27-3.41, 4 Ho 3.39-3.50, 2 Sm 3.46-3.58
7 Sm 0.3843 0.1626 0.3824  2 Er 3.27-3.41, 4 Ho 3.39-3.50, 2 Sm 3.46-3.58
8 Sm 0.1157 0.6176 0.8374  2 Er 3.27-3.41, 4 Ho 3.39-3.50, 2 Sm 3.46-3.58
9 Ho 0.0810 0.9836 0.6793  7 Sm 3.39-3.52, 1 Er 3.40, 1 Ho 3.76
10 Ho 0.4190 0.3207 0.0164  7 Sm 3.39-3.52, 1 Er 3.40, 1 Ho 3.76
11 Ho 0.9190 0.0164 0.3207  7 Sm 3.39-3.52, 1 Er 3.40, 1 Ho 3.76
12 Ho 0.5810 0.6793 0.9836  7 Sm 3.39-3.52, 1 Er 3.40, 1 Ho 3.76
13 Ho 0.2500 0.3488 0.6512  2 Sm 3.39, 6 Er 3.43-3.52
14 Ho 0.7500 0.6512 0.3488  2 Sm 3.39, 6 Er 3.43-3.52
15 Er 0.2057 0.7087 0.4959  3 Sm 3.27-3.63, 1 Er 3.39, 4 Ho 3.40-3.52
16 Er 0.2943 0.5041 0.2913  3 Sm 3.27-3.63, 1 Er 3.39, 4 Ho 3.40-3.52
17 Er 0.7943 0.2913 0.5041  3 Sm 3.27-3.63, 1 Er 3.39, 4 Ho 3.40-3.52
18 Er 0.7057 0.4959 0.7087  3 Sm 3.27-3.63, 1 Er 3.39, 4 Ho 3.40-3.52

***

(3)
Sm6Ho4Er after structural relaxation, computed with PBE.

Results
crystal system	orthorhombic
energy above the most stable polymorph in this dataset	0.000	eV/f.u.
formation energy	1.3	eV per formula unit
total moment	0.0	Bohr magnetons per cell
total energy	-99.7	eV per cell

Cell lengths 5.8049, 5.6245, 25.6463 Å; angles 90.00, 90.00, 121.07 degrees
Last column: nearest neighbours and their distance in Å.
Sites, in units of the cell vectors:
1 Sm 0.5000 0.0000 0.0000  8 Ho 3.19-3.56
2 Sm 0.5000 0.0000 0.5000  8 Ho 3.19-3.56
3 Sm 0.1235 0.2470 0.3177  5 Sm 3.47-3.77, 4 Ho 3.55-3.65, 3 Er 3.66-3.74
4 Sm 0.8765 0.7530 0.6823  5 Sm 3.47-3.77, 4 Ho 3.55-3.65, 3 Er 3.66-3.74
5 Sm 0.8765 0.7530 0.8177  5 Sm 3.47-3.77, 4 Ho 3.55-3.65, 3 Er 3.66-3.74
6 Sm 0.1235 0.2470 0.1823  5 Sm 3.47-3.77, 4 Ho 3.55-3.65, 3 Er 3.66-3.74
7 Sm 0.7987 0.5975 0.3972  6 Ho 3.32-3.70
8 Sm 0.2013 0.4025 0.6028  6 Ho 3.32-3.70
9 Sm 0.2013 0.4025 0.8972  6 Ho 3.32-3.70
10 Sm 0.7987 0.5975 0.1028  6 Ho 3.32-3.70
11 Sm 0.4514 0.9027 0.2500  3 Er 3.25-3.30, 2 Ho 3.25, 2 Sm 3.60
12 Sm 0.5486 0.0973 0.7500  3 Er 3.25-3.30, 2 Ho 3.25, 2 Sm 3.60
13 Ho 0.8504 0.7008 0.5438  8 Sm 3.43-3.79, 2 Ho 3.59-3.66
14 Ho 0.4565 0.9130 0.1231  6 Sm 3.19-3.55
15 Ho 0.1496 0.2992 0.4562  8 Sm 3.43-3.79, 2 Ho 3.59-3.66
16 Ho 0.5435 0.0870 0.8769  6 Sm 3.19-3.55
17 Ho 0.8504 0.7008 0.9562  8 Sm 3.43-3.79, 2 Ho 3.59-3.66
18 Ho 0.1496 0.2992 0.0438  8 Sm 3.43-3.79, 2 Ho 3.59-3.66
19 Ho 0.5435 0.0870 0.6231  6 Sm 3.19-3.55
20 Ho 0.4565 0.9130 0.3769  6 Sm 3.19-3.55
21 Er 0.7887 0.5775 0.2500  3 Sm 3.25-3.30
22 Er 0.2113 0.4225 0.7500  3 Sm 3.25-3.30

***

(4)
Sm6Ho2Er5 after structural relaxation, computed with PBE.

Results
crystal system	orthorhombic
formation energy	1.3	eV per formula unit
total moment	0.0	Bohr magnetons per cell
total energy	-117.9	eV per cell

Cell lengths 3.5936, 11.6349, 20.3261 Å; angles 90.00, 90.00, 90.00 degrees
Last column: nearest neighbours and their distance in Å.
Sites, in units of the cell vectors:
1 Sm 0.0000 0.0830 0.3668  1 Ho 3.33, 6 Er 3.39-3.50, 4 Sm 3.47-3.59
2 Sm 0.0000 0.9170 0.6332  1 Ho 3.33, 6 Er 3.39-3.50, 4 Sm 3.47-3.59
3 Sm 0.0000 0.5830 0.1332  1 Ho 3.33, 6 Er 3.39-3.50, 4 Sm 3.47-3.59
4 Sm 0.0000 0.4170 0.8668  1 Ho 3.33, 6 Er 3.39-3.50, 4 Sm 3.47-3.59
5 Sm 0.5000 0.3276 0.1339  2 Er 3.30-3.38, 4 Sm 3.47-3.59, 2 Ho 3.63
6 Sm 0.5000 0.6724 0.8661  2 Er 3.30-3.38, 4 Sm 3.47-3.59, 2 Ho 3.63
7 Sm 0.5000 0.8276 0.3661  2 Er 3.30-3.38, 4 Sm 3.47-3.59, 2 Ho 3.63
8 Sm 0.5000 0.1724 0.6339  2 Er 3.30-3.38, 4 Sm 3.47-3.59, 2 Ho 3.63
9 Sm 0.0000 0.5599 0.4201  6 Er 3.49-3.65, 5 Sm 3.53-3.76, 1 Ho 3.74
10 Sm 0.0000 0.4401 0.5799  6 Er 3.49-3.65, 5 Sm 3.53-3.76, 1 Ho 3.74
11 Sm 0.0000 0.0599 0.0799  6 Er 3.49-3.65, 5 Sm 3.53-3.76, 1 Ho 3.74
12 Sm 0.0000 0.9401 0.9201  6 Er 3.49-3.65, 5 Sm 3.53-3.76, 1 Ho 3.74
13 Ho 0.0000 0.3346 0.2891  3 Sm 3.33-3.63, 6 Er 3.52-3.67, 2 Ho 3.59
14 Ho 0.0000 0.6654 0.7109  3 Sm 3.33-3.63, 6 Er 3.52-3.67, 2 Ho 3.59
15 Ho 0.0000 0.8346 0.2109  3 Sm 3.33-3.63, 6 Er 3.52-3.67, 2 Ho 3.59
16 Ho 0.0000 0.1654 0.7891  3 Sm 3.33-3.63, 6 Er 3.52-3.67, 2 Ho 3.59
17 Er 0.5000 0.3017 0.4454  6 Sm 3.50-3.65, 3 Er 3.59-3.68, 2 Ho 3.67
18 Er 0.5000 0.6983 0.5546  6 Sm 3.50-3.65, 3 Er 3.59-3.68, 2 Ho 3.67
19 Er 0.5000 0.8017 0.0546  6 Sm 3.50-3.65, 3 Er 3.59-3.68, 2 Ho 3.67
20 Er 0.5000 0.1983 0.9454  6 Sm 3.50-3.65, 3 Er 3.59-3.68, 2 Ho 3.67
21 Er 0.5000 0.5932 0.2743  5 Sm 3.30-3.49, 4 Ho 3.52-3.57, 2 Er 3.59
22 Er 0.5000 0.4068 0.7257  5 Sm 3.30-3.49, 4 Ho 3.52-3.57, 2 Er 3.59
23 Er 0.5000 0.0932 0.2257  5 Sm 3.30-3.49, 4 Ho 3.52-3.57, 2 Er 3.59
24 Er 0.5000 0.9068 0.7743  5 Sm 3.30-3.49, 4 Ho 3.52-3.57, 2 Er 3.59
25 Er 0.5000 0.5000 0.0000  6 Sm 3.38-3.39, 4 Er 3.59-3.68
26 Er 0.5000 0.0000 0.5000  6 Sm 3.38-3.39, 4 Er 3.59-3.68

***

(5)
Sm4HoEr3 after structural relaxation, computed with PBE.

Results
crystal system	orthorhombic
energy above the most stable polymorph in this dataset	1.410	eV/f.u.
formation energy	1.6	eV per formula unit
total moment	0.0	Bohr magnetons per cell
total energy	-35.6	eV per cell

Cell lengths 5.6373, 3.6097, 13.2522 Å; angles 89.97, 102.28, 90.00 degrees
Last column: nearest neighbours and their distance in Å.
Sites, in units of the cell vectors:
1 Ho 0.5000 0.0000 0.0000  4 Sm 3.21-3.22, 4 Er 3.35
2 Sm 0.6028 0.5000 0.2055  1 Sm 3.11, 2 Ho 3.21-3.22
3 Sm 0.3972 0.5000 0.7945  1 Sm 3.11, 2 Ho 3.21-3.22
4 Sm 0.2771 0.4992 0.5543  3 Sm 3.11-3.15
5 Sm 0.7229 0.5008 0.4457  3 Sm 3.11-3.15
6 Er 0.0000 0.5000 0.0000  4 Ho 3.35, 2 Er 3.61
7 Er 0.8482 0.9995 0.6964  10 Sm 3.58-3.82, 2 Er 3.61
8 Er 0.1518 0.0005 0.3036  10 Sm 3.58-3.82, 2 Er 3.61

***

(6)
Sm4HoEr3 after structural relaxation, computed with PBE.

Results
crystal system	orthorhombic
energy above the most stable polymorph in this dataset	0.000	eV/f.u.
formation energy	0.2	eV per formula unit
total moment	0.0	Bohr magnetons per cell
total energy	-74.0	eV per cell

Cell lengths 6.2835, 7.2811, 11.3942 Å; angles 90.00, 90.00, 90.00 degrees
Last column: nearest neighbours and their distance in Å.
Sites, in units of the cell vectors:
1 Sm 0.1460 0.8724 0.0000  6 Sm 3.54-3.66, 4 Er 3.54-3.65, 2 Ho 3.60-3.68
2 Sm 0.6479 0.1280 0.0000  4 Er 3.54-3.69, 6 Sm 3.54-3.66, 2 Ho 3.63
3 Sm 0.9816 0.1275 0.2506  5 Er 3.54-3.68, 6 Sm 3.54-3.65, 1 Ho 3.55
4 Sm 0.4816 0.8725 0.2494  5 Er 3.54-3.68, 6 Sm 3.54-3.65, 1 Ho 3.55
5 Sm 0.1479 0.8720 0.5000  4 Er 3.54-3.69, 6 Sm 3.54-3.66, 2 Ho 3.63
6 Sm 0.6460 0.1276 0.5000  6 Sm 3.54-3.66, 4 Er 3.54-3.65, 2 Ho 3.60-3.68
7 Sm 0.4816 0.8725 0.7506  5 Er 3.54-3.68, 6 Sm 3.54-3.65, 1 Ho 3.55
8 Sm 0.9816 0.1275 0.7494  5 Er 3.54-3.68, 6 Sm 3.54-3.65, 1 Ho 3.55
9 Ho 0.1486 0.3778 0.0000  6 Er 3.52-3.61, 6 Sm 3.55-3.68
10 Ho 0.6486 0.6222 0.5000  6 Er 3.52-3.61, 6 Sm 3.55-3.68
11 Er 0.6482 0.6214 0.0000  4 Er 3.52-3.53, 6 Sm 3.54-3.69, 2 Ho 3.61
12 Er 0.9806 0.6217 0.2499  4 Er 3.52-3.61, 2 Ho 3.52-3.53, 6 Sm 3.54-3.68
13 Er 0.4806 0.3783 0.2501  4 Er 3.52-3.61, 2 Ho 3.52-3.53, 6 Sm 3.54-3.68
14 Er 0.1482 0.3786 0.5000  4 Er 3.52-3.53, 6 Sm 3.54-3.69, 2 Ho 3.61
15 Er 0.4806 0.3783 0.7499  4 Er 3.52-3.61, 2 Ho 3.52-3.53, 6 Sm 3.54-3.68
16 Er 0.9806 0.6217 0.7501  4 Er 3.52-3.61, 2 Ho 3.52-3.53, 6 Sm 3.54-3.68

***

(7)
Sm6HoEr4 after structural relaxation, computed with PBE.

Results
crystal system	tetragonal
formation energy	3.4	eV per formula unit
total moment	0.0	Bohr magnetons per cell
total energy	-47.8	eV per cell

Cell lengths 6.6086, 6.6086, 9.7335 Å; angles 109.85, 109.85, 90.00 degrees
Last column: nearest neighbours and their distance in Å.
Sites, in units of the cell vectors:
1 Sm 0.8642 0.4873 0.3515  5 Er 3.36-3.57, 1 Ho 3.48, 1 Sm 3.52
2 Sm 0.4873 0.8642 0.3515  5 Er 3.36-3.57, 1 Ho 3.48, 1 Sm 3.52
3 Sm 0.5127 0.5127 0.6485  5 Er 3.36-3.57, 1 Ho 3.48, 1 Sm 3.52
4 Sm 0.0000 0.5000 0.0000  4 Er 3.26, 2 Ho 3.30
5 Sm 0.1358 0.1358 0.6485  5 Er 3.36-3.57, 1 Ho 3.48, 1 Sm 3.52
6 Sm 0.5000 0.0000 0.0000  4 Er 3.26, 2 Ho 3.30
7 Ho 0.5000 0.5000 0.0000  8 Sm 3.30-3.48
8 Er 0.0516 0.6928 0.7444  7 Sm 3.26-3.57, 1 Er 3.35
9 Er 0.9484 0.9484 0.2556  7 Sm 3.26-3.57, 1 Er 3.35
10 Er 0.6928 0.0516 0.7444  7 Sm 3.26-3.57, 1 Er 3.35
11 Er 0.3072 0.3072 0.2556  7 Sm 3.26-3.57, 1 Er 3.35

***

(8)
Sm5Ho2Er4 after structural relaxation, computed with PBE.

Results
crystal system	monoclinic
energy above the most stable polymorph in this dataset	0.000	eV/f.u.
formation energy	2.0	eV per formula unit
total moment	0.0	Bohr magnetons per cell
total energy	-49.0	eV per cell

Cell lengths 6.8757, 6.8759, 9.6745 Å; angles 69.18, 69.18, 60.87 degrees
Last column: nearest neighbours and their distance in Å.
Sites, in units of the cell vectors:
1 Sm 0.6296 0.1596 0.8207  2 Sm 3.27-3.38, 3 Er 3.42-3.48, 3 Ho 3.45-3.60
2 Sm 0.3704 0.8404 0.1793  2 Sm 3.27-3.38, 3 Er 3.42-3.48, 3 Ho 3.45-3.60
3 Sm 0.0000 0.0000 0.5000  4 Sm 3.38
4 Sm 0.1596 0.6296 0.8207  2 Sm 3.27-3.38, 3 Er 3.42-3.48, 3 Ho 3.45-3.60
5 Sm 0.8404 0.3704 0.1793  2 Sm 3.27-3.38, 3 Er 3.42-3.48, 3 Ho 3.45-3.60
6 Ho 0.1303 0.1303 0.8489  1 Ho 3.26, 3 Er 3.31-3.49, 6 Sm 3.45-3.60
7 Ho 0.8697 0.8697 0.1511  1 Ho 3.26, 3 Er 3.31-3.49, 6 Sm 3.45-3.60
8 Er 0.3501 0.3501 0.4993  1 Ho 3.31, 2 Er 3.34-3.56, 2 Sm 3.70
9 Er 0.6499 0.6499 0.5007  1 Ho 3.31, 2 Er 3.34-3.56, 2 Sm 3.70
10 Er 0.6438 0.6438 0.8486  2 Er 3.34-3.46, 6 Sm 3.42-3.48, 2 Ho 3.49
11 Er 0.3562 0.3562 0.1514  2 Er 3.34-3.46, 6 Sm 3.42-3.48, 2 Ho 3.49